[1]
The following is a PBE calculation of crystalline TiCrB at its relaxed geometry, from the Alexandria database.

## Properties
SG = C2/m, No. 12
ΔH_f (0 K) = -0.544 eV per atom
Relative energy among the computed polymorphs = 0.0 meV per atom

Unit cell a=3.0890 b=4.5857 c=5.2642 alpha=74.41 beta=72.94 gamma=70.32
Element x y z (fractional)
Ti 0.4149 0.3390 0.8312
Ti 0.5851 0.6610 0.1688
Cr 0.8084 0.8018 0.5815
Cr 0.1916 0.1982 0.4185
B 0.8824 0.0849 0.1503
B 0.1176 0.9151 0.8497

[2]
The following is a PBE calculation of crystalline TiCrB at its relaxed geometry, from the Alexandria database.

## Properties
SG = Pmma, No. 51
ΔH_f (0 K) = -0.462 eV per atom
Relative energy among the computed polymorphs = 82.0 meV per atom

Unit cell a=3.1489 b=6.0773 c=10.3055 alpha=90.00 beta=90.00 gamma=90.00
Element x y z (fractional)
Cr 0.5000 0.5677 0.6184
Cr 0.5000 0.4323 0.1184
Cr 0.5000 0.5677 0.8816
Cr 0.5000 0.4323 0.3816
Cr 0.5000 0.8001 0.2500
Cr 0.5000 0.1999 0.7500
B 0.0000 0.4520 0.7500
B 0.0000 0.5480 0.2500
B 0.5000 0.9485 0.5846
B 0.5000 0.0515 0.0846
B 0.5000 0.9485 0.9154
B 0.5000 0.0515 0.4154
Ti 0.0000 0.7653 0.4504
Ti 0.0000 0.2347 0.5496
Ti 0.0000 0.1491 0.2500
Ti 0.0000 0.7653 0.0496
Ti 0.0000 0.2347 0.9504
Ti 0.0000 0.8509 0.7500

[3]
The following is a PBE calculation of crystalline Ti2CrB at its relaxed geometry, from the Alexandria database.

## Properties
SG = P4/mmm, No. 123
ΔH_f (0 K) = -0.076 eV per atom

Unit cell a=3.1249 b=3.9627 c=3.9627 alpha=90.00 beta=90.00 gamma=90.00
Element x y z (fractional)
Cr 0.5000 0.5000 0.5000
Ti 0.0000 0.5000 0.0000
Ti 0.0000 0.0000 0.5000
B 0.5000 0.0000 0.0000

[4]
The following is a PBE calculation of crystalline Ti2CrBW at its relaxed geometry, from the Alexandria database.

## Properties
SG = P4/mmm, No. 123
ΔH_f (0 K) = 1.557 eV per atom

Unit cell a=4.7155 b=4.0779 c=4.7155 alpha=90.00 beta=90.00 gamma=90.00
Element x y z (fractional)
Cr 0.5000 0.5000 0.5000
Ti 0.0000 0.0000 0.5000
Ti 0.5000 0.0000 0.0000
B 0.0000 0.5000 0.0000
W 0.0000 0.0000 0.0000

What are the E_tot values for these records? In order: -8.61; -8.53; -8.10; -7.45 eV per atom.
What are the N(E_F) values for these records? In order: 4.31; 13.68; 4.90; 8.42 states/eV per cell.